Record 1
A plane-wave DFT calculation with PBE was carried out for a relaxed structure of MgPtRh2.

Spin magnetization, Bohr magnetons per cell: 0.00
Electronic total energy, eV per atom: -5.89
Calculated volume, Å³/f.u.: 60.36

Lattice parameters (Å, degrees): 2.8048 3.8790 5.5476 90.00 90.00 90.00
Sites, in units of the cell vectors:
1 Mg 0.0000 0.0000 0.0000
2 Pt 0.5000 0.5000 0.2397
3 Rh 0.0000 0.0000 0.5118
4 Rh 0.5000 0.5000 0.7300

---

Record 2
A plane-wave DFT calculation with PBE was carried out for a relaxed structure of BPCl2F.

E above lowest polymorph, meV per atom: 429
Spin magnetization, Bohr magnetons per cell: 0.00
Electronic total energy, eV per atom: -2.66
Calculated volume, Å³/f.u.: 104.04
E_form (uncorrected), meV per atom: 872

Lattice parameters (Å, degrees): 5.3859 5.3859 3.5867 90.00 90.00 90.00
Sites, in units of the cell vectors:
1 B 0.0000 0.0000 0.0000
2 P 0.5000 0.5000 0.0000
3 Cl 0.0000 0.5000 0.5000
4 Cl 0.5000 0.0000 0.5000
5 F 0.5000 0.5000 0.5000

---

Record 3
A plane-wave DFT calculation with PBE was carried out for a relaxed structure of In2Ga2Pd5Au.

Spin magnetization, Bohr magnetons per cell: 0.00
Electronic total energy, eV per atom: -4.44
Calculated volume, Å³/f.u.: 173.41

Lattice parameters (Å, degrees): 9.6847 9.6847 3.6977 90.00 90.00 90.00
Sites, in units of the cell vectors:
1 In 0.1702 0.3298 0.0000
2 In 0.3298 0.8298 0.0000
3 In 0.6702 0.1702 0.0000
4 In 0.8298 0.6702 0.0000
5 Ga 0.1284 0.6284 0.0000
6 Ga 0.3716 0.1284 0.0000
7 Ga 0.6284 0.8716 0.0000
8 Ga 0.8716 0.3716 0.0000
9 Pd 0.0000 0.5000 0.5000
10 Pd 0.0937 0.8048 0.5000
11 Pd 0.1952 0.0937 0.5000
12 Pd 0.3048 0.5937 0.5000
13 Pd 0.4063 0.3048 0.5000
14 Pd 0.5000 0.0000 0.5000
15 Pd 0.5937 0.6952 0.5000
16 Pd 0.6952 0.4063 0.5000
17 Pd 0.8048 0.9063 0.5000
18 Pd 0.9063 0.1952 0.5000
19 Au 0.0000 0.0000 0.0000
20 Au 0.5000 0.5000 0.0000

---

Record 4
A plane-wave DFT calculation with PBE was carried out for a relaxed structure of La2SbOsC.

E above lowest polymorph, meV per atom: 0
Spin magnetization, Bohr magnetons per cell: 0.00
Electronic total energy, eV per atom: -7.35
Calculated volume, Å³/f.u.: 116.70
E_form (uncorrected), meV per atom: -460

Lattice parameters (Å, degrees): 5.4190 5.4190 3.9738 90.00 90.00 90.00
Sites, in units of the cell vectors:
1 La 0.0000 0.5000 0.0000
2 La 0.5000 0.0000 0.0000
3 Sb 0.0000 0.0000 0.5000
4 Os 0.5000 0.5000 0.5000
5 C 0.5000 0.5000 0.0000

---

Record 5
A plane-wave DFT calculation with PBE was carried out for a relaxed structure of Y2BrCl4.

Spin magnetization, Bohr magnetons per cell: 3.22
Electronic total energy, eV per atom: -3.96
Calculated volume, Å³/f.u.: 257.33
E_form (uncorrected), meV per atom: -823

Lattice parameters (Å, degrees): 5.7439 5.7439 15.5993 90.00 90.00 90.00
Sites, in units of the cell vectors:
1 Y 0.0000 0.0000 0.0973
2 Y 0.0000 0.0000 0.9027
3 Y 0.5000 0.5000 0.4027
4 Y 0.5000 0.5000 0.5973
5 Br 0.0000 0.0000 0.5000
6 Br 0.5000 0.5000 0.0000
7 Cl 0.0000 0.0000 0.2570
8 Cl 0.0000 0.0000 0.7430
9 Cl 0.0000 0.5000 0.0000
10 Cl 0.0000 0.5000 0.5000
11 Cl 0.5000 0.0000 0.0000
12 Cl 0.5000 0.0000 0.5000
13 Cl 0.5000 0.5000 0.2430
14 Cl 0.5000 0.5000 0.7570

---

Record 6
A plane-wave DFT calculation with PBE was carried out for a relaxed structure of TaMoC2.

E above lowest polymorph, meV per atom: 24
Spin magnetization, Bohr magnetons per cell: 0.00
Electronic total energy, eV per atom: -10.48
Calculated volume, Å³/f.u.: 43.75

Lattice parameters (Å, degrees): 7.0124 7.0124 5.4140 105.04 105.04 126.46
Sites, in units of the cell vectors:
1 Ta 0.0665 0.9335 0.7500
2 Ta 0.1915 0.8085 0.2500
3 Ta 0.8085 0.1915 0.7500
4 Ta 0.9335 0.0665 0.2500
5 Mo 0.3212 0.6788 0.7500
6 Mo 0.4489 0.5511 0.2500
7 Mo 0.5511 0.4489 0.7500
8 Mo 0.6788 0.3212 0.2500
9 C 0.0631 0.4370 0.2497
10 C 0.1826 0.3083 0.7510
11 C 0.3083 0.1826 0.2510
12 C 0.4370 0.0631 0.7497
13 C 0.5630 0.9369 0.2503
14 C 0.6917 0.8174 0.7490
15 C 0.8174 0.6917 0.2490
16 C 0.9369 0.5630 0.7503

---

Record 7
A plane-wave DFT calculation with PBE was carried out for a relaxed structure of BaMgAs2.

Spin magnetization, Bohr magnetons per cell: 0.00
Electronic total energy, eV per atom: -3.83
Calculated volume, Å³/f.u.: 129.48

Lattice parameters (Å, degrees): 5.5747 5.5747 16.6664 90.00 90.00 90.00
Sites, in units of the cell vectors:
1 Ba 0.0000 0.0000 0.0000
2 Ba 0.0000 0.5000 0.2500
3 Ba 0.5000 0.0000 0.7500
4 Ba 0.5000 0.5000 0.5000
5 Mg 0.0000 0.0000 0.5000
6 Mg 0.0000 0.5000 0.7500
7 Mg 0.5000 0.0000 0.2500
8 Mg 0.5000 0.5000 0.0000
9 As 0.0658 0.2500 0.6250
10 As 0.2500 0.5658 0.8750
11 As 0.2500 0.9342 0.3750
12 As 0.4342 0.2500 0.1250
13 As 0.5658 0.7500 0.1250
14 As 0.7500 0.0658 0.3750
15 As 0.7500 0.4342 0.8750
16 As 0.9342 0.7500 0.6250

---

Record 8
A plane-wave DFT calculation with PBE was carried out for a relaxed structure of Zn3WN4.

E above lowest polymorph, meV per atom: 0
Spin magnetization, Bohr magnetons per cell: 0.00
Electronic total energy, eV per atom: -6.51
Calculated volume, Å³/f.u.: 100.98
E_form (uncorrected), meV per atom: -251

Lattice parameters (Å, degrees): 6.5864 5.6991 5.3804 90.00 90.00 90.00
Sites, in units of the cell vectors:
1 Zn 0.0000 0.1661 0.0000
2 Zn 0.2489 0.3322 0.5008
3 Zn 0.2511 0.6678 0.0008
4 Zn 0.5000 0.8339 0.5000
5 Zn 0.7489 0.6678 0.0008
6 Zn 0.7511 0.3322 0.5008
7 W 0.0000 0.8298 0.4994
8 W 0.5000 0.1702 0.9994
9 N 0.0000 0.1427 0.3831
10 N 0.0000 0.8286 0.8484
11 N 0.2363 0.6736 0.3833
12 N 0.2637 0.3264 0.8833
13 N 0.5000 0.1714 0.3484
14 N 0.5000 0.8573 0.8831
15 N 0.7363 0.3264 0.8833
16 N 0.7637 0.6736 0.3833